# 1
A relaxed structure of Sr7Cd2Ga2, computed with PBE.

For the total magnetic moment, the calculation gives 0.0 μB/cell. For the formation energy, the calculation gives -0.09 eV per atom. The value obtained for the density of states at the Fermi level is 23.252 states/eV/cell.

The structure belongs to space group C2/m (No. 12); the cell edges are 12.372, 8.181 and 8.713 Å and the angles 90.00°, 90.09° and 90.00°. The asymmetric unit holds Sr at (0.000, 0.000, 0.000), Sr at (0.000, 0.500, 0.283), Sr at (0.250, 0.250, 0.292), Cd at (0.194, 0.500, 0.000) and Ga at (0.000, 0.155, 0.500).

# 2
A relaxed structure of Sr2Cd2Ga3, computed with PBE.

For the total magnetic moment, the calculation gives 0.0 μB/cell. For the formation energy, the calculation gives -0.33 eV per atom. The value obtained for the density of states at the Fermi level is 7.299 states/eV/cell.

The structure belongs to space group C2/m (No. 12); the cell edges are 11.787, 4.717 and 7.097 Å and the angles 90.00°, 114.96° and 90.00°. The asymmetric unit holds Sr at (0.148, 0.000, 0.273), Cd at (0.157, 0.000, 0.779), Ga at (0.000, 0.500, 0.500) and Ga at (0.080, 0.500, 0.914).

# 3
A relaxed structure of Sr4Cd2Ga, computed with PBE.

For the total magnetic moment, the calculation gives 0.0 μB/cell. For the formation energy, the calculation gives -0.27 eV per atom. The value obtained for the density of states at the Fermi level is 12.271 states/eV/cell.

The structure belongs to space group R-3m (No. 166, hexagonal axes); the cell edges are 5.6590, 5.6590 and 27.9298 Å and the angles 90.00°, 90.00° and 120.00°. The asymmetric unit holds Sr at (0.0000, 0.0000, 0.1225), Sr at (0.0000, 0.0000, 0.3728), Cd at (0.0000, 0.0000, 0.2504) and Ga at (0.0000, 0.0000, 0.0000).